{
  "formula": "Pm2BeB10",
  "functional": "PBE",
  "state": "relaxed",
  "lattice_angstrom": [[5.607, 0.000, 0.000], [0.000, 11.063, 0.000], [0.000, 0.000, 4.160]],
  "species": ["Pm", "Pm", "Pm", "Pm", "Be", "Be", "B", "B", "B", "B", "B", "B", "B", "B", "B", "B", "B", "B", "B", "B", "B", "B", "B", "B", "B", "B"],
  "fractional_positions": [[0.192, 0.135, 0.000], [0.308, 0.635, 0.000], [0.692, 0.365, 0.000], [0.808, 0.865, 0.000], [0.000, 0.500, 0.500], [0.500, 0.000, 0.500], [0.027, 0.314, 0.500], [0.128, 0.960, 0.500], [0.164, 0.803, 0.500], [0.196, 0.389, 0.201], [0.196, 0.389, 0.799], [0.304, 0.889, 0.201], [0.304, 0.889, 0.799], [0.336, 0.303, 0.500], [0.372, 0.460, 0.500], [0.473, 0.814, 0.500], [0.527, 0.186, 0.500], [0.628, 0.540, 0.500], [0.664, 0.697, 0.500], [0.696, 0.111, 0.201], [0.696, 0.111, 0.799], [0.804, 0.611, 0.201], [0.804, 0.611, 0.799], [0.836, 0.197, 0.500], [0.872, 0.040, 0.500], [0.973, 0.686, 0.500]],
  "ef_mev_per_atom": -476,
  "total_energy_ev_per_fu": -86.2
}